(1)
## NaCaHoCl6 (PBE)

Data for NaCaHoCl6 after structural relaxation.

Summary:
Symmetry   P-31c (163)
Energy relative to the elements, uncorrected   -20.020 eV per formula unit
Mass density   2.80 g/cm³
V   29.00 Å³/atom

Lattice parameters (Å, degrees): 6.9648 6.9648 12.4237 90.00 90.00 120.00
Fractional coordinates of all 18 atoms:
Na (0.0000, 0.0000, 0.0000)
Na (0.0000, 0.0000, 0.5000)
Ca (0.3333, 0.6667, 0.2500)
Ca (0.6667, 0.3333, 0.7500)
Ho (0.3333, 0.6667, 0.7500)
Ho (0.6667, 0.3333, 0.2500)
Cl (0.0124, 0.3587, 0.6310)
Cl (0.0124, 0.6537, 0.8690)
Cl (0.3463, 0.3587, 0.8690)
Cl (0.3463, 0.9876, 0.6310)
Cl (0.3587, 0.0124, 0.1310)
Cl (0.3587, 0.3463, 0.3690)
Cl (0.6413, 0.6537, 0.6310)
Cl (0.6413, 0.9876, 0.8690)
Cl (0.6537, 0.0124, 0.3690)
Cl (0.6537, 0.6413, 0.1310)
Cl (0.9876, 0.3463, 0.1310)
Cl (0.9876, 0.6413, 0.3690)

=====

(2)
## PrSbHPd2 (PBE)

Data for PrSbHPd2 after structural relaxation.

Summary:
DFT total energy   -26.40 eV per formula unit
Symmetry   Cmcm (63)
Mass density   8.64 g/cm³
V   18.31 Å³/atom

Lattice parameters (Å, degrees): 6.1032 6.1032 7.4210 90.00 90.00 138.51
Fractional coordinates of all 10 atoms:
Pr (0.0683, 0.9317, 0.7500)
Pr (0.9317, 0.0683, 0.2500)
Sb (0.2155, 0.7845, 0.2500)
Sb (0.7845, 0.2155, 0.7500)
H (0.5000, 0.5000, 0.0000)
H (0.5000, 0.5000, 0.5000)
Pd (0.3507, 0.6493, 0.5522)
Pd (0.3507, 0.6493, 0.9478)
Pd (0.6493, 0.3507, 0.0522)
Pd (0.6493, 0.3507, 0.4478)

=====

(3)
## RbSn2Sb2 (PBE)

Data for RbSn2Sb2 after structural relaxation.

Summary:
Symmetry   P4/mbm (127)
Energy relative to the elements, uncorrected   -0.389 eV per formula unit
Mass density   5.74 g/cm³
V   32.80 Å³/atom

Lattice parameters (Å, degrees): 9.1244 9.1244 3.9397 90.00 90.00 90.00
Fractional coordinates of all 10 atoms:
Rb (0.0000, 0.0000, 0.0000)
Rb (0.5000, 0.5000, 0.0000)
Sn (0.1239, 0.3761, 0.0000)
Sn (0.3761, 0.8761, 0.0000)
Sn (0.6239, 0.1239, 0.0000)
Sn (0.8761, 0.6239, 0.0000)
Sb (0.1510, 0.6510, 0.5000)
Sb (0.3490, 0.1510, 0.5000)
Sb (0.6510, 0.8490, 0.5000)
Sb (0.8490, 0.3490, 0.5000)

=====

(4)
## CaNbSCl2 (PBE)

Data for CaNbSCl2 after structural relaxation.

Summary:
E above lowest polymorph   0 kJ/mol of formula units
Symmetry   P4/mmm (123)
Energy relative to the elements, uncorrected   -4.673 eV per formula unit
Mass density   3.30 g/cm³
V   23.73 Å³/atom

Lattice parameters (Å, degrees): 4.9592 4.9592 4.8244 90.00 90.00 90.00
Fractional coordinates of all 5 atoms:
Ca (0.0000, 0.0000, 0.0000)
Nb (0.5000, 0.5000, 0.5000)
S (0.5000, 0.5000, 0.0000)
Cl (0.0000, 0.5000, 0.5000)
Cl (0.5000, 0.0000, 0.5000)

=====

(5)
## Y4SbAs (PBE)

Data for Y4SbAs after structural relaxation.

Summary:
Symmetry   F-43m (216)
Energy relative to the elements, uncorrected   0.321 eV per formula unit
Mass density   5.49 g/cm³
V   27.83 Å³/atom

Lattice parameters (Å, degrees): 6.1812 6.1812 6.1812 60.00 60.00 60.00
Fractional coordinates of all 6 atoms:
Y (0.1251, 0.1251, 0.1251)
Y (0.1251, 0.1251, 0.6246)
Y (0.1251, 0.6246, 0.1251)
Y (0.6246, 0.1251, 0.1251)
Sb (0.5000, 0.5000, 0.5000)
As (0.7500, 0.7500, 0.7500)

=====

(6)
## BaCaGe2As (PBE)

Data for BaCaGe2As after structural relaxation.

Summary:
Symmetry   P4/mmm (123)
Energy relative to the elements   3.34 eV/f.u.
Mass density   3.71 g/cm³
V   35.59 Å³/atom

Lattice parameters (Å, degrees): 5.3301 5.3301 6.2635 90.00 90.00 90.00
Fractional coordinates of all 5 atoms:
Ba (0.0000, 0.0000, 0.0000)
Ca (0.0000, 0.0000, 0.5000)
Ge (0.0000, 0.5000, 0.5000)
Ge (0.5000, 0.0000, 0.5000)
As (0.5000, 0.5000, 0.0000)

=====

(7)
## Tb5PrSm4 (PBE)

Data for Tb5PrSm4 after structural relaxation.

Summary:
E above lowest polymorph   0 kJ/mol of formula units
Symmetry   P-1 (2)
Energy relative to the elements   1.86 eV/f.u.
Mass density   7.40 g/cm³
V   34.50 Å³/atom

Lattice parameters (Å, degrees): 3.5644 8.8511 11.1630 89.84 89.95 78.44
Fractional coordinates of all 10 atoms:
Tb (0.0000, 0.0000, 0.0000)
Tb (0.3249, 0.3498, 0.5553)
Tb (0.3274, 0.3469, 0.9494)
Tb (0.6726, 0.6531, 0.0506)
Tb (0.6751, 0.6502, 0.4447)
Pr (0.0000, 0.0000, 0.5000)
Sm (0.1510, 0.6931, 0.7499)
Sm (0.4701, 0.0585, 0.7524)
Sm (0.5299, 0.9415, 0.2476)
Sm (0.8490, 0.3069, 0.2501)

=====

(8)
## TlRe2Os (PBE)

Data for TlRe2Os after structural relaxation.

Summary:
E above lowest polymorph   56 kJ/mol of formula units
Symmetry   Pm (6)
Energy relative to the elements   2.92 eV/f.u.
Mass density   18.84 g/cm³
V   16.91 Å³/atom

Lattice parameters (Å, degrees): 2.8329 3.8959 6.1270 90.00 90.10 90.00
Fractional coordinates of all 4 atoms:
Tl (0.0000, 0.0000, 0.0000)
Re (0.0001, 0.0000, 0.5099)
Re (0.5004, 0.5000, 0.2868)
Os (0.5011, 0.5000, 0.7055)

=====

(9)
## Ba4IrCl (PBE)

Data for Ba4IrCl after structural relaxation.

Summary:
E above lowest polymorph   0 kJ/mol of formula units
Symmetry   P-1 (2)
Energy relative to the elements, uncorrected   -4.186 eV per formula unit
Mass density   4.56 g/cm³
V   47.14 Å³/atom

Lattice parameters (Å, degrees): 4.5978 7.9919 8.2525 102.63 90.02 106.66
Fractional coordinates of all 6 atoms:
Ba (0.1133, 0.2274, 0.3918)
Ba (0.3807, 0.7604, 0.1537)
Ba (0.6193, 0.2396, 0.8463)
Ba (0.8867, 0.7726, 0.6082)
Ir (0.5000, 0.0000, 0.5000)
Cl (0.0000, 0.0000, 0.0000)

=====

(10)
## MnRuW (PBE)

Data for MnRuW after structural relaxation.

Summary:
E above lowest polymorph   0 kJ/mol of formula units
Symmetry   I4mm (107)
Energy relative to the elements   0.26 eV/f.u.
Mass density   13.05 g/cm³
V   14.42 Å³/atom

Lattice parameters (Å, degrees): 3.1043 3.1043 8.9756 90.00 90.00 90.00
Fractional coordinates of all 6 atoms:
Mn (0.0000, 0.0000, 0.0000)
Mn (0.5000, 0.5000, 0.5000)
Ru (0.0000, 0.0000, 0.6707)
Ru (0.5000, 0.5000, 0.1707)
W (0.0000, 0.0000, 0.3376)
W (0.5000, 0.5000, 0.8376)

=====

(11)
## ZrTlPt2 (PBE)

Data for ZrTlPt2 after structural relaxation.

Summary:
Symmetry   Cm (8)
Energy relative to the elements   -1.94 eV/f.u.
Mass density   14.72 g/cm³
V   19.35 Å³/atom

Lattice parameters (Å, degrees): 9.4790 3.6425 4.6645 90.00 106.06 90.00
Fractional coordinates of all 8 atoms:
Zr (0.0000, 0.0000, 0.0000)
Zr (0.5000, 0.5000, 0.0000)
Tl (0.2616, 0.5000, 0.3336)
Tl (0.7616, 0.0000, 0.3336)
Pt (0.0083, 0.5000, 0.5398)
Pt (0.2694, 0.0000, 0.8393)
Pt (0.5083, 0.0000, 0.5398)
Pt (0.7694, 0.5000, 0.8393)

=====

(12)
## PuZr5N6 (PBE)

Data for PuZr5N6 after structural relaxation.

Summary:
Symmetry   C2/m (12)
Energy relative to the elements, uncorrected   -19.676 eV per formula unit
Mass density   8.56 g/cm³
V   12.67 Å³/atom

Lattice parameters (Å, degrees): 5.7133 5.7133 5.7093 99.60 99.60 120.06
Fractional coordinates of all 12 atoms:
Pu (0.0000, 0.0000, 0.0000)
Zr (0.1687, 0.8313, 0.5000)
Zr (0.3320, 0.6680, 0.0000)
Zr (0.5000, 0.5000, 0.5000)
Zr (0.6680, 0.3320, 0.0000)
Zr (0.8313, 0.1687, 0.5000)
N (0.0853, 0.4231, 0.2550)
N (0.2544, 0.2544, 0.7473)
N (0.4231, 0.0853, 0.2550)
N (0.5769, 0.9147, 0.7450)
N (0.7456, 0.7456, 0.2527)
N (0.9147, 0.5769, 0.7450)

=====

(13)
## Ca2GaBi (PBE)

Data for Ca2GaBi after structural relaxation.

Summary:
E above lowest polymorph   112 kJ/mol of formula units
Symmetry   Cmce (64)
Energy relative to the elements   -1.13 eV/f.u.
Mass density   4.50 g/cm³
V   33.13 Å³/atom

Lattice parameters (Å, degrees): 9.7513 9.7513 6.6589 90.00 90.00 123.15
Fractional coordinates of all 16 atoms:
Ca (0.0781, 0.4219, 0.7500)
Ca (0.1376, 0.8624, 0.7575)
Ca (0.3624, 0.6376, 0.2575)
Ca (0.4219, 0.0781, 0.2500)
Ca (0.5781, 0.9219, 0.7500)
Ca (0.6376, 0.3624, 0.7425)
Ca (0.8624, 0.1376, 0.2425)
Ca (0.9219, 0.5781, 0.2500)
Ga (0.0535, 0.9465, 0.1540)
Ga (0.4465, 0.5535, 0.6540)
Ga (0.5535, 0.4465, 0.3460)
Ga (0.9465, 0.0535, 0.8460)
Bi (0.1908, 0.1908, 0.5000)
Bi (0.3092, 0.3092, 0.0000)
Bi (0.6908, 0.6908, 0.0000)
Bi (0.8092, 0.8092, 0.5000)

=====

(14)
## Dy2MgNi (PBE)

Data for Dy2MgNi after structural relaxation.

Summary:
E above lowest polymorph   15 kJ/mol of formula units
Symmetry   P2_1/m (11)
Energy relative to the elements   -0.85 eV/f.u.
Mass density   7.22 g/cm³
V   23.47 Å³/atom

Lattice parameters (Å, degrees): 3.5433 8.6229 6.3946 90.00 106.07 90.00
Fractional coordinates of all 8 atoms:
Dy (0.1370, 0.0587, 0.2742)
Dy (0.1370, 0.4413, 0.2742)
Dy (0.8630, 0.5587, 0.7258)
Dy (0.8630, 0.9413, 0.7258)
Mg (0.4329, 0.2500, 0.8639)
Mg (0.5671, 0.7500, 0.1361)
Ni (0.2465, 0.7500, 0.4914)
Ni (0.7535, 0.2500, 0.5086)

=====

(15)
## ScCuP2 (PBE)

Data for ScCuP2 after structural relaxation.

Summary:
Symmetry   P4/mmm (123)
Energy relative to the elements   -1.78 eV/f.u.
Mass density   4.72 g/cm³
V   14.98 Å³/atom

Lattice parameters (Å, degrees): 4.1093 4.1093 3.5489 90.00 90.00 90.00
Fractional coordinates of all 4 atoms:
Sc (0.0000, 0.0000, 0.0000)
Cu (0.5000, 0.5000, 0.0000)
P (0.0000, 0.5000, 0.5000)
P (0.5000, 0.0000, 0.5000)

=====

(16)
## Mg2ZrAu4 (PBE)

Data for Mg2ZrAu4 after structural relaxation.

Summary:
Symmetry   C2/m (12)
Energy relative to the elements   -3.07 eV/f.u.
Mass density   10.76 g/cm³
V   20.45 Å³/atom

Lattice parameters (Å, degrees): 6.7811 6.5988 7.2305 90.00 117.76 90.00
Fractional coordinates of all 14 atoms:
Mg (0.2409, 0.0000, 0.4786)
Mg (0.2591, 0.5000, 0.5214)
Mg (0.7409, 0.5000, 0.4786)
Mg (0.7591, 0.0000, 0.5214)
Zr (0.0000, 0.5000, 0.0000)
Zr (0.5000, 0.0000, 0.0000)
Au (0.1254, 0.2483, 0.7539)
Au (0.1254, 0.7517, 0.7539)
Au (0.3746, 0.2517, 0.2461)
Au (0.3746, 0.7483, 0.2461)
Au (0.6254, 0.2517, 0.7539)
Au (0.6254, 0.7483, 0.7539)
Au (0.8746, 0.2483, 0.2461)
Au (0.8746, 0.7517, 0.2461)

=====

(17)
## Th2SbPtRh5 (PBE)

Data for Th2SbPtRh5 after structural relaxation.

Summary:
Symmetry   I4/mcm (140)
Energy relative to the elements, uncorrected   -2.212 eV per formula unit
Mass density   11.48 g/cm³
V   20.82 Å³/atom

Lattice parameters (Å, degrees): 7.9316 7.9316 7.9316 114.95 114.95 98.99
Fractional coordinates of all 18 atoms:
Th (0.1400, 0.6400, 0.7801)
Th (0.3600, 0.1400, 0.5000)
Th (0.6400, 0.8600, 0.5000)
Th (0.8600, 0.3600, 0.2199)
Sb (0.2500, 0.2500, 0.0000)
Sb (0.7500, 0.7500, 0.0000)
Pt (0.2500, 0.7500, 0.5000)
Pt (0.7500, 0.2500, 0.5000)
Rh (0.0000, 0.0000, 0.0000)
Rh (0.0538, 0.1721, 0.5000)
Rh (0.1721, 0.6721, 0.1182)
Rh (0.3279, 0.4462, 0.5000)
Rh (0.4462, 0.9462, 0.1182)
Rh (0.5000, 0.5000, 0.0000)
Rh (0.5538, 0.0538, 0.8818)
Rh (0.6721, 0.5538, 0.5000)
Rh (0.8279, 0.3279, 0.8818)
Rh (0.9462, 0.8279, 0.5000)

=====

(18)
## Tb2DyPb (PBE)

Data for Tb2DyPb after structural relaxation.

Summary:
E above lowest polymorph   50 kJ/mol of formula units
Symmetry   R3m (160)
Energy relative to the elements   -0.64 eV/f.u.
Mass density   9.21 g/cm³
V   30.98 Å³/atom

Lattice parameters (Å, degrees): 3.6134 3.6134 32.8813 90.00 90.00 120.00
Fractional coordinates of all 12 atoms:
Tb (0.0000, 0.0000, 0.0000)
Tb (0.0000, 0.0000, 0.1725)
Tb (0.3333, 0.6667, 0.6667)
Tb (0.3333, 0.6667, 0.8392)
Tb (0.6667, 0.3333, 0.3333)
Tb (0.6667, 0.3333, 0.5058)
Dy (0.0000, 0.0000, 0.7531)
Dy (0.3333, 0.6667, 0.4198)
Dy (0.6667, 0.3333, 0.0864)
Pb (0.0000, 0.0000, 0.5865)
Pb (0.3333, 0.6667, 0.2532)
Pb (0.6667, 0.3333, 0.9198)